# 1
YC3Se: optimized geometry, GGA-PBE.

Calculated values
distance to the lowest polymorph of the same formula	103.36	kJ per mole of atoms
D(E_F)	4.8	states/eV/f.u.
raw formation energy	67.1	kcal/mol of atoms

```
5
Lattice="4.5721 0.0000 0.0000 0.0000 4.5721 0.0000 0.0000 0.0000 4.5721" Properties=species:S:1:pos:R:3 pbc="T T T"
Y 0.0000 0.0000 0.0000
C 0.0000 0.0000 2.2860
C 0.0000 2.2860 0.0000
C 2.2860 0.0000 0.0000
Se 2.2860 2.2860 2.2860
```

---

# 2
Ag2GeOs: optimized geometry, GGA-PBE.

Calculated values
D(E_F)	3.0	states/eV/f.u.
energy	-37.391	eV per cell

```
8
Lattice="-1.8612 1.8612 10.1786 1.8612 -1.8612 10.1786 1.8612 1.8612 -10.1786" Properties=species:S:1:pos:R:3 pbc="T T T"
Ag 2.7918 0.9218 -2.5447
Ag 0.9218 0.9306 2.5447
Ag -0.9306 0.9395 7.6340
Ag 0.9395 0.9306 12.7233
Ge 1.8612 0.0000 5.0893
Ge 0.0000 0.0000 10.1786
Os 0.0000 0.0000 0.0000
Os 0.0000 1.8612 5.0893
```

---

Q: Which value of D(E_F) does entry 2 give?
A: 3.0 states/eV/f.u.

---

Q: What is the D(E_F) in the first record?
A: 4.8 states/eV/f.u.

---

Q: Look up the D(E_F) of the second one.
A: 3.0 states/eV/f.u.